No. 1
Entry from Alexandria via LeMat-Bulk: Nb4PtRh4 after structural relaxation (PBE).

Cell lengths 7.8647, 7.8647, 5.2562 Å; angles 90.00, 90.00, 90.00 degrees
With the nearest neighbours (Å) after each atom.
Fractional coordinates of all 18 atoms:
1 Nb 0.0260 0.7500 0.1061  1 Pt 2.57, 4 Rh 2.59-2.87
2 Nb 0.2500 0.5260 0.3939  1 Pt 2.57, 4 Rh 2.59-2.87
3 Nb 0.2500 0.9740 0.3939  1 Pt 2.57, 4 Rh 2.59-2.87
4 Nb 0.4740 0.7500 0.1061  1 Pt 2.57, 4 Rh 2.59-2.87
5 Nb 0.5260 0.2500 0.8939  1 Pt 2.57, 4 Rh 2.59-2.87
6 Nb 0.7500 0.0260 0.6061  1 Pt 2.57, 4 Rh 2.59-2.87
7 Nb 0.7500 0.4740 0.6061  1 Pt 2.57, 4 Rh 2.59-2.87
8 Nb 0.9740 0.2500 0.8939  1 Pt 2.57, 4 Rh 2.59-2.87
9 Pt 0.2500 0.7500 0.7500  4 Nb 2.57, 4 Rh 2.67
10 Pt 0.7500 0.2500 0.2500  4 Nb 2.57, 4 Rh 2.67
11 Rh 0.0702 0.2500 0.4207  4 Nb 2.59-2.87, 1 Pt 2.67, 1 Rh 2.83
12 Rh 0.2500 0.0702 0.9207  4 Nb 2.59-2.87, 1 Pt 2.67, 1 Rh 2.83
13 Rh 0.2500 0.4298 0.9207  4 Nb 2.59-2.87, 1 Pt 2.67, 1 Rh 2.83
14 Rh 0.4298 0.2500 0.4207  4 Nb 2.59-2.87, 1 Pt 2.67, 1 Rh 2.83
15 Rh 0.5702 0.7500 0.5793  4 Nb 2.59-2.87, 1 Pt 2.67, 1 Rh 2.83
16 Rh 0.7500 0.5702 0.0793  4 Nb 2.59-2.87, 1 Pt 2.67, 1 Rh 2.83
17 Rh 0.7500 0.9298 0.0793  4 Nb 2.59-2.87, 1 Pt 2.67, 1 Rh 2.83
18 Rh 0.9298 0.7500 0.5793  4 Nb 2.59-2.87, 1 Pt 2.67, 1 Rh 2.83

Results
Final energy, eV/atom: -8.3435
ΔH_f (0 K), eV/atom: 0.070
Crystal system: tetragonal

No. 2
Entry from Alexandria via LeMat-Bulk: BaHoW2N6 after structural relaxation (PBE).

Cell lengths 7.8490, 7.8490, 6.6319 Å; angles 105.99, 105.99, 88.11 degrees
With the nearest neighbours (Å) after each atom.
Fractional coordinates of all 20 atoms:
1 Ba 0.0996 0.9004 0.7500  4 N 2.63-2.80
2 Ba 0.9004 0.0996 0.2500  4 N 2.63-2.80
3 Ho 0.2820 0.7180 0.2500  4 N 2.31
4 Ho 0.7180 0.2820 0.7500  4 N 2.31
5 W 0.2186 0.3762 0.8266  4 N 1.80-1.96
6 W 0.3762 0.2186 0.3266  4 N 1.80-1.96
7 W 0.6238 0.7814 0.6734  4 N 1.80-1.96
8 W 0.7814 0.6238 0.1734  4 N 1.80-1.96
9 N 0.0010 0.7421 0.2980  1 W 1.85
10 N 0.1848 0.6103 0.8744  1 W 1.80
11 N 0.2579 0.9990 0.2020  1 W 1.85
12 N 0.3057 0.3664 0.1257  2 W 1.93-1.96
13 N 0.3664 0.3057 0.6257  2 W 1.93-1.96
14 N 0.3897 0.8152 0.6256  1 W 1.80
15 N 0.6103 0.1848 0.3744  1 W 1.80
16 N 0.6336 0.6943 0.3743  2 W 1.93-1.96
17 N 0.6943 0.6336 0.8743  2 W 1.93-1.96
18 N 0.7421 0.0010 0.7980  1 W 1.85
19 N 0.8152 0.3897 0.1256  1 W 1.80
20 N 0.9990 0.2579 0.7020  1 W 1.85

Results
Final energy, eV/atom: -8.8839
Crystal system: monoclinic

No. 3
Entry from Alexandria via LeMat-Bulk: PuZnH6Ir2 after structural relaxation (PBE).

Cell lengths 5.8533, 5.8533, 5.8533 Å; angles 45.25, 45.25, 45.25 degrees
With the nearest neighbours (Å) after each atom.
Fractional coordinates of all 10 atoms:
1 Pu 0.0000 0.0000 0.0000  12 H 2.43
2 Zn 0.5000 0.5000 0.5000  6 H 2.16
3 H 0.0543 0.5596 0.5596  1 Ir 1.66, 1 H 1.82
4 H 0.4404 0.4404 0.9457  1 Ir 1.66, 1 H 1.82
5 H 0.4404 0.9457 0.4404  1 Ir 1.66, 1 H 1.82
6 H 0.5596 0.0543 0.5596  1 Ir 1.66, 1 H 1.82
7 H 0.5596 0.5596 0.0543  1 Ir 1.66, 1 H 1.82
8 H 0.9457 0.4404 0.4404  1 Ir 1.66, 1 H 1.82
9 Ir 0.2088 0.2088 0.2088  3 H 1.66
10 Ir 0.7912 0.7912 0.7912  3 H 1.66

Results
Final energy, eV/atom: -5.5653
Crystal system: trigonal

No. 4
Entry from Alexandria via LeMat-Bulk: NaCo2Pb2 after structural relaxation (PBE).

Cell lengths 5.5888, 5.5888, 5.5888 Å; angles 127.20, 127.20, 77.93 degrees
With the nearest neighbours (Å) after each atom.
Fractional coordinates of all 5 atoms:
1 Na 0.0000 0.0000 0.0000  2 Co 3.27, 8 Pb 3.30
2 Co 0.3759 0.3759 0.0000  1 Co 2.16
3 Co 0.6241 0.6241 0.0000  1 Co 2.16
4 Pb 0.2500 0.7500 0.5000  4 Co 2.72
5 Pb 0.7500 0.2500 0.5000  4 Co 2.72

Results
Final energy, eV/atom: -4.2049
Relative energy among the computed polymorphs, meV per atom: 180.8
ΔH_f (0 K), eV/atom: 0.385
Crystal system: tetragonal

No. 5
Entry from Alexandria via LeMat-Bulk: NaPRhO2 after structural relaxation (PBE).

Cell lengths 3.8656, 3.8656, 5.1977 Å; angles 90.00, 90.00, 90.00 degrees
With the nearest neighbours (Å) after each atom.
Fractional coordinates of all 5 atoms:
1 Na 0.0000 0.0000 0.0000  4 O 1.93
2 P 0.0000 0.0000 0.5000  2 Na 2.60, 4 Rh 2.73
3 Rh 0.5000 0.5000 0.5000  4 P 2.73
4 O 0.0000 0.5000 0.0000  2 Na 1.93
5 O 0.5000 0.0000 0.0000  2 Na 1.93

Results
Final energy, eV/atom: -3.7642
Relative energy among the computed polymorphs, meV per atom: 1184.5
Crystal system: tetragonal

No. 6
Entry from Alexandria via LeMat-Bulk: Hf3VGa4 after structural relaxation (PBE).

Cell lengths 8.9084, 5.6029, 5.6145 Å; angles 90.00, 90.00, 90.00 degrees
With the nearest neighbours (Å) after each atom.
Fractional coordinates of all 16 atoms:
1 Hf 0.0000 0.0478 0.0000  8 Ga 2.75-3.02, 2 Hf 3.04
2 Hf 0.2487 0.7272 0.7905  8 Ga 2.78-3.08, 2 V 2.90-2.96, 2 Hf 3.04-3.09
3 Hf 0.2513 0.2728 0.2905  8 Ga 2.78-3.08, 2 V 2.90-2.96, 2 Hf 3.04-3.09
4 Hf 0.5000 0.9522 0.5000  8 Ga 2.75-3.02, 2 Hf 3.04
5 Hf 0.7487 0.2728 0.2905  8 Ga 2.78-3.08, 2 V 2.90-2.96, 2 Hf 3.04-3.09
6 Hf 0.7513 0.7272 0.7905  8 Ga 2.78-3.08, 2 V 2.90-2.96, 2 Hf 3.04-3.09
7 V 0.0000 0.4751 0.5698  8 Ga 2.74-3.05, 4 Hf 2.90-2.96
8 V 0.5000 0.5249 0.0698  8 Ga 2.74-3.05, 4 Hf 2.90-2.96
9 Ga 0.0000 0.5347 0.0630  2 Ga 2.71, 6 Hf 2.75-2.97, 2 V 2.79-2.86
10 Ga 0.0000 0.9901 0.5142  2 Ga 2.69, 2 V 2.74-2.90, 2 Hf 2.75-2.91
11 Ga 0.2254 0.7666 0.2882  2 Ga 2.69-2.71, 5 Hf 2.78-2.91
12 Ga 0.2746 0.2334 0.7882  2 Ga 2.69-2.71, 5 Hf 2.78-2.91
13 Ga 0.5000 0.0099 0.0142  2 Ga 2.69, 2 V 2.74-2.90, 2 Hf 2.75-2.91
14 Ga 0.5000 0.4653 0.5630  2 Ga 2.71, 6 Hf 2.75-2.97, 2 V 2.79-2.86
15 Ga 0.7254 0.2334 0.7882  2 Ga 2.69-2.71, 5 Hf 2.78-2.91
16 Ga 0.7746 0.7666 0.2882  2 Ga 2.69-2.71, 5 Hf 2.78-2.91

Results
Final energy, eV/atom: -6.6873
ΔH_f (0 K), eV/atom: -0.301
Crystal system: orthorhombic

No. 7
Entry from Alexandria via LeMat-Bulk: K2AgSnBr5 after structural relaxation (PBE).

Cell lengths 9.7989, 9.7989, 14.4062 Å; angles 90.00, 90.00, 152.23 degrees
With the nearest neighbours (Å) after each atom.
Fractional coordinates of all 18 atoms:
1 K 0.1005 0.8995 0.5000  7 Br 3.28-3.61
2 K 0.1536 0.8464 0.1441  7 Br 3.45-3.55, 1 Ag 3.85
3 K 0.8464 0.1536 0.6441  7 Br 3.45-3.55, 1 Ag 3.85
4 K 0.8995 0.1005 0.0000  7 Br 3.28-3.61
5 Ag 0.2361 0.7639 0.9004  4 Br 2.69-2.83
6 Ag 0.7639 0.2361 0.4004  4 Br 2.69-2.83
7 Sn 0.4573 0.5427 0.2645  4 Br 2.70-2.94
8 Sn 0.5427 0.4573 0.7645  4 Br 2.70-2.94
9 Br 0.0891 0.9109 0.8705  1 Ag 2.83, 2 Sn 2.94
10 Br 0.2728 0.7272 0.4987  2 Ag 2.75
11 Br 0.3350 0.6650 0.1696  1 Sn 2.70
12 Br 0.3652 0.6348 0.8235  1 Ag 2.69
13 Br 0.4787 0.5213 0.5836  1 Sn 2.88
14 Br 0.5213 0.4787 0.0836  1 Sn 2.88
15 Br 0.6348 0.3652 0.3235  1 Ag 2.69
16 Br 0.6650 0.3350 0.6696  1 Sn 2.70
17 Br 0.7272 0.2728 0.9987  2 Ag 2.75
18 Br 0.9109 0.0891 0.3705  1 Ag 2.83, 2 Sn 2.94

Results
Final energy, eV/atom: -3.0051
Crystal system: orthorhombic

No. 8
Entry from Alexandria via LeMat-Bulk: GaSbWN2 after structural relaxation (PBE).

Cell lengths 3.8592, 3.8592, 5.5369 Å; angles 90.00, 90.00, 90.00 degrees
With the nearest neighbours (Å) after each atom.
Fractional coordinates of all 5 atoms:
1 Ga 0.0000 0.0000 0.0000  4 N 1.93
2 Sb 0.0000 0.0000 0.5000  4 W 2.73, 2 Ga 2.77
3 W 0.5000 0.5000 0.5000  4 Sb 2.73
4 N 0.0000 0.5000 0.0000  2 Ga 1.93
5 N 0.5000 0.0000 0.0000  2 Ga 1.93

Results
Final energy, eV/atom: -5.3980
Relative energy among the computed polymorphs, meV per atom: 23.4
Crystal system: tetragonal

No. 9
Entry from Alexandria via LeMat-Bulk: LiPtCl after structural relaxation (PBE).

Cell lengths 4.1797, 4.1797, 7.3957 Å; angles 90.00, 90.00, 120.00 degrees
With the nearest neighbours (Å) after each atom.
Fractional coordinates of all 6 atoms:
1 Li 0.0000 0.0000 0.0000  6 Cl 3.04, 6 Pt 3.04
2 Li 0.0000 0.0000 0.5000  6 Pt 3.04, 6 Cl 3.04
3 Pt 0.3333 0.6667 0.2500  3 Cl 2.41
4 Pt 0.6667 0.3333 0.7500  3 Cl 2.41
5 Cl 0.3333 0.6667 0.7500  3 Pt 2.41
6 Cl 0.6667 0.3333 0.2500  3 Pt 2.41

Results
Final energy, eV/atom: -3.4254
Relative energy among the computed polymorphs, meV per atom: 668.4
Crystal system: hexagonal

No. 10
Entry from Alexandria via LeMat-Bulk: Co5As after structural relaxation (PBE).

Cell lengths 4.0076, 6.6370, 6.6370 Å; angles 22.99, 90.00, 90.00 degrees
With the nearest neighbours (Å) after each atom.
Fractional coordinates of all 6 atoms:
1 Co 0.0000 0.0000 0.0000  4 As 2.50, 8 Co 2.52-2.65
2 Co 0.0000 0.3289 0.3289  10 Co 2.51-2.65, 2 As 2.53
3 Co 0.0000 0.6648 0.6648  12 Co 2.45-2.65
4 Co 0.5000 0.1170 0.1170  10 Co 2.43-2.65, 2 As 2.57
5 Co 0.5000 0.7733 0.7733  10 Co 2.43-2.65, 2 As 2.62
6 As 0.5000 0.4473 0.4473  10 Co 2.50-2.62, 2 As 2.65

Results
Final energy, eV/atom: -6.6488
ΔH_f (0 K), eV/atom: 0.048
Crystal system: orthorhombic

Copy entry 2 word for word.
Entry from Alexandria via LeMat-Bulk: BaHoW2N6 after structural relaxation (PBE).

Cell lengths 7.8490, 7.8490, 6.6319 Å; angles 105.99, 105.99, 88.11 degrees
With the nearest neighbours (Å) after each atom.
Fractional coordinates of all 20 atoms:
1 Ba 0.0996 0.9004 0.7500  4 N 2.63-2.80
2 Ba 0.9004 0.0996 0.2500  4 N 2.63-2.80
3 Ho 0.2820 0.7180 0.2500  4 N 2.31
4 Ho 0.7180 0.2820 0.7500  4 N 2.31
5 W 0.2186 0.3762 0.8266  4 N 1.80-1.96
6 W 0.3762 0.2186 0.3266  4 N 1.80-1.96
7 W 0.6238 0.7814 0.6734  4 N 1.80-1.96
8 W 0.7814 0.6238 0.1734  4 N 1.80-1.96
9 N 0.0010 0.7421 0.2980  1 W 1.85
10 N 0.1848 0.6103 0.8744  1 W 1.80
11 N 0.2579 0.9990 0.2020  1 W 1.85
12 N 0.3057 0.3664 0.1257  2 W 1.93-1.96
13 N 0.3664 0.3057 0.6257  2 W 1.93-1.96
14 N 0.3897 0.8152 0.6256  1 W 1.80
15 N 0.6103 0.1848 0.3744  1 W 1.80
16 N 0.6336 0.6943 0.3743  2 W 1.93-1.96
17 N 0.6943 0.6336 0.8743  2 W 1.93-1.96
18 N 0.7421 0.0010 0.7980  1 W 1.85
19 N 0.8152 0.3897 0.1256  1 W 1.80
20 N 0.9990 0.2579 0.7020  1 W 1.85

Results
Final energy, eV/atom: -8.8839
Crystal system: monoclinic

Question: Look up the final energy of the ninth one.
Answer: -3.4254 eV/atom

Question: Among the records above, which one has the lowest final energy?
Answer: BaHoW2N6

What did the seventh record say?
Entry from Alexandria via LeMat-Bulk: K2AgSnBr5 after structural relaxation (PBE).

Cell lengths 9.7989, 9.7989, 14.4062 Å; angles 90.00, 90.00, 152.23 degrees
With the nearest neighbours (Å) after each atom.
Fractional coordinates of all 18 atoms:
1 K 0.1005 0.8995 0.5000  7 Br 3.28-3.61
2 K 0.1536 0.8464 0.1441  7 Br 3.45-3.55, 1 Ag 3.85
3 K 0.8464 0.1536 0.6441  7 Br 3.45-3.55, 1 Ag 3.85
4 K 0.8995 0.1005 0.0000  7 Br 3.28-3.61
5 Ag 0.2361 0.7639 0.9004  4 Br 2.69-2.83
6 Ag 0.7639 0.2361 0.4004  4 Br 2.69-2.83
7 Sn 0.4573 0.5427 0.2645  4 Br 2.70-2.94
8 Sn 0.5427 0.4573 0.7645  4 Br 2.70-2.94
9 Br 0.0891 0.9109 0.8705  1 Ag 2.83, 2 Sn 2.94
10 Br 0.2728 0.7272 0.4987  2 Ag 2.75
11 Br 0.3350 0.6650 0.1696  1 Sn 2.70
12 Br 0.3652 0.6348 0.8235  1 Ag 2.69
13 Br 0.4787 0.5213 0.5836  1 Sn 2.88
14 Br 0.5213 0.4787 0.0836  1 Sn 2.88
15 Br 0.6348 0.3652 0.3235  1 Ag 2.69
16 Br 0.6650 0.3350 0.6696  1 Sn 2.70
17 Br 0.7272 0.2728 0.9987  2 Ag 2.75
18 Br 0.9109 0.0891 0.3705  1 Ag 2.83, 2 Sn 2.94

Results
Final energy, eV/atom: -3.0051
Crystal system: orthorhombic